Material: Mn2TePb
Method: DFT, GGA-PBE
State: optimized geometry

Calculated values
Total DFT energy (no corrections) ... -22.473 eV for the cell shown
Fermi-level density of states ... 3.9 states/eV/cell
Formation energy from raw total energies ... 679 meV/atom
Relative energy among the computed polymorphs ... 489 meV/atom

a b c (Å): 5.084 5.084 5.084
angles (deg): 60.00 60.00 60.00
Last column: magnetic moment on the atom in μB.
Sites, in units of the cell vectors:
Mn: 0.250 0.250 0.250  3.86
Pb: 0.500 0.500 0.500  -0.11
Te: 0.750 0.750 0.750  -0.02
Mn: 0.000 0.000 0.000  3.82